No. 1
Material: GdLuPb
Method: DFT, PBE
State: optimized geometry

Cell: 7.266 7.266 7.266 Å, 90.00 90.00 90.00°
Atoms (fractional coordinates):
Gd (0.000, 0.000, 0.000)
Gd (0.000, 0.500, 0.500)
Gd (0.500, 0.000, 0.500)
Gd (0.500, 0.500, 0.000)
Lu (0.000, 0.000, 0.500)
Lu (0.000, 0.500, 0.000)
Lu (0.500, 0.000, 0.000)
Lu (0.500, 0.500, 0.500)
Pb (0.250, 0.250, 0.250)
Pb (0.250, 0.750, 0.750)
Pb (0.750, 0.250, 0.750)
Pb (0.750, 0.750, 0.250)

Output
crystal system: cubic
volume: 384 Å³/cell
energy relative to the lowest polymorph listed for this composition: 0.0 meV/atom
total energy: -4.4467 eV per atom
M_tot: 0.02 μB per formula unit

---

No. 2
Material: GdLu2Pb7
Method: DFT, PBE
State: optimized geometry

Cell: 13.010 13.010 4.661 Å, 90.00 90.00 159.11°
Atoms (fractional coordinates):
Gd (0.000, 0.000, 0.000)
Lu (0.191, 0.809, 0.000)
Lu (0.809, 0.191, 0.000)
Pb (0.100, 0.900, 0.500)
Pb (0.294, 0.706, 0.500)
Pb (0.401, 0.599, 0.000)
Pb (0.500, 0.500, 0.500)
Pb (0.599, 0.401, 0.000)
Pb (0.706, 0.294, 0.500)
Pb (0.900, 0.100, 0.500)

Output
crystal system: orthorhombic
volume: 281 Å³/cell
total energy: -4.2475 eV per atom
M_tot: 0.00 μB per formula unit

---

No. 3
Material: GdLu4Pb3
Method: DFT, PBE
State: optimized geometry

Cell: 6.215 6.215 6.215 Å, 90.00 90.00 90.00°
Atoms (fractional coordinates):
Gd (0.000, 0.000, 0.000)
Lu (0.000, 0.000, 0.500)
Lu (0.000, 0.500, 0.000)
Lu (0.500, 0.000, 0.000)
Lu (0.500, 0.500, 0.500)
Pb (0.000, 0.500, 0.500)
Pb (0.500, 0.000, 0.500)
Pb (0.500, 0.500, 0.000)

Output
crystal system: cubic
volume: 240 Å³/cell
total energy: -4.1319 eV per atom
M_tot: 0.02 μB per formula unit

---

No. 4
Material: Pr2GdLu2
Method: DFT, PBE
State: optimized geometry

Cell: 9.153 9.153 9.153 Å, 136.99 59.92 140.36°
Atoms (fractional coordinates):
Pr (0.192, 0.159, 0.351)
Pr (0.308, 0.659, 0.967)
Pr (0.692, 0.341, 0.033)
Pr (0.808, 0.841, 0.649)
Gd (0.250, 0.250, 0.000)
Gd (0.750, 0.750, 0.000)
Lu (0.089, 0.619, 0.707)
Lu (0.411, 0.119, 0.530)
Lu (0.589, 0.881, 0.470)
Lu (0.911, 0.381, 0.293)

Output
crystal system: orthorhombic
volume: 330 Å³/cell
calculated formation energy: 0.13 eV per atom
total energy: -4.5184 eV per atom
M_tot: 0.01 μB per formula unit

---

No. 5
Material: PrGdLu
Method: DFT, PBE
State: optimized geometry

Cell: 7.731 7.731 7.731 Å, 90.00 90.00 90.00°
Atoms (fractional coordinates):
Pr (0.000, 0.000, 0.000)
Pr (0.000, 0.500, 0.500)
Pr (0.500, 0.000, 0.500)
Pr (0.500, 0.500, 0.000)
Gd (0.250, 0.250, 0.750)
Gd (0.250, 0.750, 0.250)
Gd (0.750, 0.250, 0.250)
Gd (0.750, 0.750, 0.750)
Lu (0.250, 0.250, 0.250)
Lu (0.250, 0.750, 0.750)
Lu (0.750, 0.250, 0.750)
Lu (0.750, 0.750, 0.250)

Output
crystal system: cubic
volume: 462 Å³/cell
calculated formation energy: 0.77 eV per atom
total energy: -3.8820 eV per atom
M_tot: 0.08 μB per formula unit

---

No. 6
Material: Gd3LuPt4
Method: DFT, PBE
State: optimized geometry

Cell: 5.570 4.513 7.050 Å, 90.00 90.52 90.00°
Atoms (fractional coordinates):
Gd (0.000, 0.000, 0.000)
Gd (0.218, 0.000, 0.498)
Gd (0.716, 0.500, 0.634)
Lu (0.499, 0.500, 0.135)
Pt (0.015, 0.500, 0.270)
Pt (0.206, 0.500, 0.778)
Pt (0.513, 0.000, 0.871)
Pt (0.698, 0.000, 0.352)

Output
crystal system: monoclinic
volume: 177 Å³/cell
calculated formation energy: -1.27 eV per atom
total energy: -6.6109 eV per atom
M_tot: 0.01 μB per formula unit

---

No. 7
Material: GdLu3Pt4
Method: DFT, PBE
State: optimized geometry

Cell: 5.519 4.459 6.918 Å, 90.00 90.56 90.00°
Atoms (fractional coordinates):
Gd (0.000, 0.000, 0.000)
Lu (0.217, 0.000, 0.499)
Lu (0.499, 0.500, 0.138)
Lu (0.715, 0.500, 0.635)
Pt (0.016, 0.500, 0.283)
Pt (0.204, 0.500, 0.765)
Pt (0.514, 0.000, 0.858)
Pt (0.696, 0.000, 0.366)

Output
crystal system: monoclinic
volume: 170 Å³/cell
calculated formation energy: -1.32 eV per atom
total energy: -6.6221 eV per atom
M_tot: 0.04 μB per formula unit

---

No. 8
Material: RbGdLu
Method: DFT, PBE
State: optimized geometry

Cell: 8.368 8.368 8.368 Å, 90.00 90.00 90.00°
Atoms (fractional coordinates):
Rb (0.000, 0.000, 0.000)
Rb (0.000, 0.500, 0.500)
Rb (0.500, 0.000, 0.500)
Rb (0.500, 0.500, 0.000)
Gd (0.000, 0.000, 0.500)
Gd (0.000, 0.500, 0.000)
Gd (0.500, 0.000, 0.000)
Gd (0.500, 0.500, 0.500)
Lu (0.250, 0.250, 0.750)
Lu (0.250, 0.750, 0.250)
Lu (0.750, 0.250, 0.250)
Lu (0.750, 0.750, 0.750)

Output
crystal system: cubic
volume: 586 Å³/cell
energy relative to the lowest polymorph listed for this composition: 0.0 meV/atom
total energy: -2.1461 eV per atom
M_tot: 1.02 μB per formula unit

---

No. 9
Material: GdLuRe
Method: DFT, PBE
State: optimized geometry

Cell: 6.708 6.708 6.708 Å, 90.00 90.00 90.00°
Atoms (fractional coordinates):
Gd (0.000, 0.000, 0.000)
Gd (0.000, 0.500, 0.500)
Gd (0.500, 0.000, 0.500)
Gd (0.500, 0.500, 0.000)
Lu (0.250, 0.250, 0.250)
Lu (0.250, 0.750, 0.750)
Lu (0.750, 0.250, 0.750)
Lu (0.750, 0.750, 0.250)
Re (0.000, 0.000, 0.500)
Re (0.000, 0.500, 0.000)
Re (0.500, 0.000, 0.000)
Re (0.500, 0.500, 0.500)

Output
crystal system: cubic
volume: 302 Å³/cell
calculated formation energy: 1.08 eV per atom
energy relative to the lowest polymorph listed for this composition: 0.0 meV/atom
total energy: -6.1199 eV per atom
M_tot: 0.00 μB per formula unit

---

No. 10
Material: GdLuSc
Method: DFT, PBE
State: optimized geometry

Cell: 7.400 7.400 7.400 Å, 90.00 90.00 90.00°
Atoms (fractional coordinates):
Gd (0.000, 0.000, 0.000)
Gd (0.000, 0.500, 0.500)
Gd (0.500, 0.000, 0.500)
Gd (0.500, 0.500, 0.000)
Lu (0.000, 0.000, 0.500)
Lu (0.000, 0.500, 0.000)
Lu (0.500, 0.000, 0.000)
Lu (0.500, 0.500, 0.500)
Sc (0.250, 0.250, 0.250)
Sc (0.250, 0.750, 0.750)
Sc (0.750, 0.250, 0.750)
Sc (0.750, 0.750, 0.250)

Output
crystal system: cubic
volume: 405 Å³/cell
calculated formation energy: 0.69 eV per atom
energy relative to the lowest polymorph listed for this composition: 0.0 meV/atom
total energy: -4.4755 eV per atom
M_tot: 0.00 μB per formula unit

---

No. 11
Material: GdLuSi
Method: DFT, PBE
State: optimized geometry

Cell: 6.800 6.800 6.800 Å, 90.00 90.00 90.00°
Atoms (fractional coordinates):
Gd (0.000, 0.000, 0.000)
Gd (0.000, 0.500, 0.500)
Gd (0.500, 0.000, 0.500)
Gd (0.500, 0.500, 0.000)
Lu (0.000, 0.000, 0.500)
Lu (0.000, 0.500, 0.000)
Lu (0.500, 0.000, 0.000)
Lu (0.500, 0.500, 0.500)
Si (0.250, 0.250, 0.250)
Si (0.250, 0.750, 0.750)
Si (0.750, 0.250, 0.750)
Si (0.750, 0.750, 0.250)

Output
crystal system: cubic
volume: 314 Å³/cell
energy relative to the lowest polymorph listed for this composition: 0.0 meV/atom
total energy: -5.3151 eV per atom
M_tot: 0.01 μB per formula unit

---

No. 12
Material: SmGdLu
Method: DFT, PBE
State: optimized geometry

Cell: 7.679 7.679 7.679 Å, 90.00 90.00 90.00°
Atoms (fractional coordinates):
Sm (0.000, 0.000, 0.000)
Sm (0.000, 0.500, 0.500)
Sm (0.500, 0.000, 0.500)
Sm (0.500, 0.500, 0.000)
Gd (0.250, 0.250, 0.750)
Gd (0.250, 0.750, 0.250)
Gd (0.750, 0.250, 0.250)
Gd (0.750, 0.750, 0.750)
Lu (0.250, 0.250, 0.250)
Lu (0.250, 0.750, 0.750)
Lu (0.750, 0.250, 0.750)
Lu (0.750, 0.750, 0.250)

Output
crystal system: cubic
volume: 453 Å³/cell
calculated formation energy: 0.75 eV per atom
total energy: -3.8770 eV per atom
M_tot: 0.02 μB per formula unit